DFT (PBE) results for a geometry-optimized ScZnRe structure.

Structure (CIF):
```
data_ScZnRe
_chemical_formula_sum 'Sc1 Zn1 Re1'
_cell_length_a 3.0330
_cell_length_b 3.0330
_cell_length_c 6.5394
_cell_angle_alpha 90.00
_cell_angle_beta 90.00
_cell_angle_gamma 120.00
_symmetry_space_group_name_H-M 'P 3 m 1'
_symmetry_Int_Tables_number 156
loop_
_symmetry_equiv_pos_as_xyz
'x,y,z'
'-y,x-y,z'
'-x+y,-x,z'
'-y,-x,z'
'-x+y,y,z'
'x,x-y,z'
loop_
_atom_site_label
_atom_site_fract_x
_atom_site_fract_y
_atom_site_fract_z
Sc1 0.0000 0.0000 0.0000
Zn1 0.6667 0.3333 0.3665
Re1 0.3333 0.6667 0.6809
```

Output
- V (Å³ per cell) = 52
- relative energy among the computed polymorphs (eV per atom) = 0.175
- energy (eV for the cell shown) = -19.405
- energy relative to the elements (eV/atom) = 0.216